Computed, not measured: a geometry-optimized EuPuSn structure at the PBE level of DFT.

The value obtained for the excess energy over the best structure of this formula in the dataset is 48 meV/atom. The formation enthalpy at 0 K is -0.14 eV per atom. The total magnetization is 0.2976 μB/atom. As for the calculated total energy: -9.680 eV per atom. For the mass density, the calculation gives 10.6 g/cm³.

The space group is P-6m2 (No. 187) and the conventional cell measures 5.3675, 5.3675 and 3.2248 Å, with angles of 90.00, 90.00 and 120.00 degrees. The asymmetric unit holds Eu at (0.0000, 0.0000, 0.0000), Pu at (0.6667, 0.3333, 0.0000) and Sn at (0.3333, 0.6667, 0.5000).